# ScIn2Rh4

A relaxed structure of ScIn2Rh4 (PBE-GGA, the Alexandria database).

Results
Energy (eV/atom): -6.2073
DFT formation energy (eV per atom): -0.32
D(E_F) (states/eV/cell): 8.5
Size of the total moment (μB/cell): 0.00
Density (g/cm3): 9.1

Cell lengths 6.2871, 6.2871, 6.3415 Å; angles 90.00, 90.00, 90.00 degrees
Space group I4/mmm (No. 139)
Inequivalent atoms, fractional coordinates:
Sc (0.0000, 0.0000, 0.0000)
In (0.0000, 0.5000, 0.0000)
Rh (0.2500, 0.2500, 0.2500)